LiHoNp: relaxed, PBE.

## Properties
Total magnetization: 6.00 μB/cell
E above lowest polymorph: 0 meV/atom
Crystal system: cubic

a = 4.8852 Å, b = 4.8852 Å, c = 4.8852 Å
α = 60.00°, β = 60.00°, γ = 60.00°
Closest atoms and distances in Å follow each position.
Element x y z (fractional)
Np  0.5000  0.5000  0.5000  4 Li 2.99
Li  0.7500  0.7500  0.7500  4 Np 2.99, 4 Ho 2.99
Ho  0.0000  0.0000  0.0000  4 Li 2.99